A geometry-optimized CoHgB2 structure, computed with GGA-PBE.

Cell lengths 3.675, 3.675, 14.298 Å; angles 90.00, 90.00, 90.00 degrees
Space group I4_1/amd (No. 141, origin choice 2)
Symmetry-distinct sites (fractional):
Co  0.000  0.250  0.375 (multiplicity 4)
Hg  0.000  0.250  0.875 (multiplicity 4)
B  0.000  0.000  0.500 (multiplicity 8)

Output
- Total energy: -75.0 eV per cell
- Formation enthalpy at 0 K: 0.50 eV/atom



A geometry-optimized Co2HgBI structure, computed with GGA-PBE.

Cell lengths 4.630, 4.630, 6.769 Å; angles 90.00, 90.00, 90.00 degrees
Space group P4/mmm (No. 123)
Symmetry-distinct sites (fractional):
Co  0.000  0.500  0.000 (multiplicity 2)
Hg  0.000  0.000  0.500 (multiplicity 1)
B  0.500  0.500  0.500 (multiplicity 1)
I  0.000  0.000  0.000 (multiplicity 1)

Output
- Total energy: -12.6 eV per cell